(1)
The following is a DFT calculation (PBE) of a relaxed Cd2InRh crystal.

Cell and atoms, written as CIF:
```
data_Cd2InRh
_space_group_name_H-M_alt 'P 1 2/m 1'
_space_group_IT_number 10
_space_group_name_Hall '-P 2y'
_cell_length_a 4.689
_cell_length_b 3.368
_cell_length_c 4.966
_cell_angle_alpha 90.00
_cell_angle_beta 101.83
_cell_angle_gamma 90.00
loop_
_atom_site_label
_atom_site_type_symbol
_atom_site_fract_x
_atom_site_fract_y
_atom_site_fract_z
_atom_site_occupancy
Cd1 Cd 0.000 0.000 0.000 1
Cd2 Cd 0.500 0.500 0.000 1
In1 In 0.000 0.500 0.500 1
Rh1 Rh 0.500 0.000 0.500 1
```

Computed properties:
ΔE_f = -0.06 eV/atom

(2)
The following is a DFT calculation (PBE) of a relaxed SrInGe crystal.

Cell and atoms, written as CIF:
```
data_SrInGe
_space_group_name_H-M_alt 'P -1'
_space_group_IT_number 2
_space_group_name_Hall '-P 1'
_cell_length_a 4.588
_cell_length_b 6.575
_cell_length_c 6.792
_cell_angle_alpha 63.94
_cell_angle_beta 70.88
_cell_angle_gamma 88.52
loop_
_atom_site_label
_atom_site_type_symbol
_atom_site_fract_x
_atom_site_fract_y
_atom_site_fract_z
_atom_site_occupancy
Sr1 Sr 0.195 0.218 0.106 1
In1 In 0.495 0.250 0.494 1
Ge1 Ge 0.125 0.650 0.286 1
```

Computed properties:
ΔE_f = -0.41 eV/atom

(3)
The following is a DFT calculation (PBE) of a relaxed KYCoI2 crystal.

Cell and atoms, written as CIF:
```
data_KYCoI2
_space_group_name_H-M_alt 'P 4/m m m'
_space_group_IT_number 123
_space_group_name_Hall '-P 4 2'
_cell_length_a 6.090
_cell_length_b 6.090
_cell_length_c 6.821
_cell_angle_alpha 90.00
_cell_angle_beta 90.00
_cell_angle_gamma 90.00
loop_
_atom_site_label
_atom_site_type_symbol
_atom_site_fract_x
_atom_site_fract_y
_atom_site_fract_z
_atom_site_occupancy
K1 K 0.000 0.000 0.000 1
Y1 Y 0.000 0.000 0.500 1
Co1 Co 0.500 0.500 0.500 1
I1 I 0.000 0.500 0.000 1
```

Computed properties:
ΔE_f (raw) = 0.989 eV/atom

(4)
The following is a DFT calculation (PBE) of a relaxed TiTeRhI2 crystal.

Cell and atoms, written as CIF:
```
data_TiTeRhI2
_space_group_name_H-M_alt 'P 4/m m m'
_space_group_IT_number 123
_space_group_name_Hall '-P 4 2'
_cell_length_a 5.290
_cell_length_b 5.290
_cell_length_c 5.324
_cell_angle_alpha 90.00
_cell_angle_beta 90.00
_cell_angle_gamma 90.00
loop_
_atom_site_label
_atom_site_type_symbol
_atom_site_fract_x
_atom_site_fract_y
_atom_site_fract_z
_atom_site_occupancy
Ti1 Ti 0.000 0.000 0.000 1
Te1 Te 0.500 0.500 0.000 1
Rh1 Rh 0.500 0.500 0.500 1
I1 I 0.000 0.500 0.500 1
```

Computed properties:
Excess energy over the best structure of this formula in the dataset = 0.000 eV/atom
ΔE_f (raw) = 0.557 eV/atom

(5)
The following is a DFT calculation (PBE) of a relaxed Ni5Pt6 crystal.

Cell and atoms, written as CIF:
```
data_Ni5Pt6
_space_group_name_H-M_alt 'P 1'
_space_group_IT_number 1
_space_group_name_Hall 'P 1'
_cell_length_a 4.646
_cell_length_b 6.009
_cell_length_c 6.036
_cell_angle_alpha 107.31
_cell_angle_beta 104.98
_cell_angle_gamma 97.33
loop_
_atom_site_label
_atom_site_type_symbol
_atom_site_fract_x
_atom_site_fract_y
_atom_site_fract_z
_atom_site_occupancy
Ni1 Ni 0.000 0.000 0.000 1
Ni2 Ni 0.089 0.826 0.360 1
Ni3 Ni 0.361 0.270 0.449 1
Ni4 Ni 0.729 0.550 0.908 1
Ni5 Ni 0.908 0.186 0.634 1
Pt1 Pt 0.183 0.632 0.726 1
Pt2 Pt 0.261 0.453 0.088 1
Pt3 Pt 0.450 0.101 0.804 1
Pt4 Pt 0.548 0.914 0.184 1
Pt5 Pt 0.645 0.737 0.552 1
Pt6 Pt 0.821 0.363 0.274 1
```

Computed properties:
Excess energy over the best structure of this formula in the dataset = 0.000 eV/atom
ΔE_f = -0.06 eV/atom

(6)
The following is a DFT calculation (PBE) of a relaxed TiCuSe2 crystal.

Cell and atoms, written as CIF:
```
data_TiCuSe2
_space_group_name_H-M_alt 'C 1 2/m 1'
_space_group_IT_number 12
_space_group_name_Hall '-C 2y'
_cell_length_a 13.129
_cell_length_b 3.567
_cell_length_c 7.547
_cell_angle_alpha 90.00
_cell_angle_beta 95.53
_cell_angle_gamma 90.00
loop_
_atom_site_label
_atom_site_type_symbol
_atom_site_fract_x
_atom_site_fract_y
_atom_site_fract_z
_atom_site_occupancy
Ti1 Ti 0.173 0.000 0.370 1
Cu1 Cu 0.033 0.500 0.844 1
Se1 Se 0.135 0.500 0.601 1
Se2 Se 0.144 0.500 0.126 1
```

Computed properties:
ΔE_f (raw) = -0.643 eV/atom

(7)
The following is a DFT calculation (PBE) of a relaxed BaScTc2Sb crystal.

Cell and atoms, written as CIF:
```
data_BaScTc2Sb
_space_group_name_H-M_alt 'P 4/m m m'
_space_group_IT_number 123
_space_group_name_Hall '-P 4 2'
_cell_length_a 4.942
_cell_length_b 4.942
_cell_length_c 5.591
_cell_angle_alpha 90.00
_cell_angle_beta 90.00
_cell_angle_gamma 90.00
loop_
_atom_site_label
_atom_site_type_symbol
_atom_site_fract_x
_atom_site_fract_y
_atom_site_fract_z
_atom_site_occupancy
Ba1 Ba 0.000 0.000 0.000 1
Sc1 Sc 0.500 0.500 0.500 1
Tc1 Tc 0.000 0.500 0.500 1
Sb1 Sb 0.500 0.500 0.000 1
```

Computed properties:
ΔE_f (raw) = 0.904 eV/atom

(8)
The following is a DFT calculation (PBE) of a relaxed AlIn2Pt crystal.

Cell and atoms, written as CIF:
```
data_AlIn2Pt
_space_group_name_H-M_alt 'C 1 2/m 1'
_space_group_IT_number 12
_space_group_name_Hall '-C 2y'
_cell_length_a 9.174
_cell_length_b 3.716
_cell_length_c 4.730
_cell_angle_alpha 90.00
_cell_angle_beta 99.73
_cell_angle_gamma 90.00
loop_
_atom_site_label
_atom_site_type_symbol
_atom_site_fract_x
_atom_site_fract_y
_atom_site_fract_z
_atom_site_occupancy
Al1 Al 0.000 0.000 0.000 1
In1 In 0.242 0.000 0.742 1
Pt1 Pt 0.000 0.500 0.500 1
```

Computed properties:
ΔE_f = -0.11 eV/atom

> Which formula does entry 1 have?

Cd2InRh

> Which formula does entry 8 have?

AlIn2Pt